1.
Material: Zn2CdCo
Method: DFT, PBE
State: optimized geometry

DFT formation energy   0.109 eV/atom

abc: 3.0709 4.4003 8.9026
angles: 90.00 90.00 90.00
Space group Immm (No. 71)
Unique sites:
Zn  0.0000  0.0000  0.2215 x4
Cd  0.0000  0.5000  0.0000 x2
Co  0.0000  0.5000  0.5000 x2



2.
Material: Zn2CdCo
Method: DFT, PBE
State: optimized geometry

DFT formation energy   0.140 eV/atom

abc: 3.8099 3.8099 8.2096
angles: 90.00 90.00 90.00
Space group I4/mmm (No. 139)
Unique sites:
Zn  0.0000  0.5000  0.2500 x4
Cd  0.0000  0.0000  0.0000 x2
Co  0.0000  0.0000  0.5000 x2